## MnAgRh2 (meta-GGA SCAN)

Data for a PBEsol-optimized structure of MnAgRh2.

POSCAR file:
```
MnAgRh2
1.0
4.302 0.000 0.000
2.151 3.726 0.000
2.151 1.242 3.513
Ag Rh Mn
1 2 1
Cartesian
0.000 0.000 0.000
6.453 3.726 2.634
2.151 1.242 0.878
4.302 2.484 1.756
```

The calculation puts the final energy at -29.249 eV/atom. The density of states at the Fermi level is 5.5 states/eV/f.u.